(1)
The following is a PBE-GGA calculation of an optimized crystal structure of Ac6Ru2PtRh, from Alexandria.

Properties
The calculation puts the density of states at the Fermi level at 5.873 states/eV/f.u. The energy relative to the elements comes out at -0.4587 eV/atom.

Structure (CIF):
```
data_Ac6Ru2PtRh
_chemical_formula_sum 'Ac18 Ru6 Pt3 Rh3'
_space_group_name_H-M_alt 'R 3'
_space_group_IT_number 146
_space_group_name_Hall 'R 3'
_cell_length_a 7.4749
_cell_length_b 7.4749
_cell_length_c 20.4203
_cell_angle_alpha 90.00
_cell_angle_beta 90.00
_cell_angle_gamma 120.00
loop_
_atom_site_label
_atom_site_fract_x
_atom_site_fract_y
_atom_site_fract_z
Ac1 0.0000 0.3276 0.0000
Ac2 0.0103 0.6742 0.1682
Ru1 0.0000 0.0000 0.0878
Ru2 0.0000 0.0000 0.5879
Pt1 0.0000 0.0000 0.7501
Rh1 0.0000 0.0000 0.2489
```

(2)
The following is a PBE-GGA calculation of an optimized crystal structure of Cs2Pb, from Alexandria.

Properties
The calculation puts the density of states at the Fermi level at 2.003 states/eV/f.u. The energy relative to the elements comes out at -0.0999 eV/atom.

Structure (CIF):
```
data_Cs2Pb
_chemical_formula_sum 'Cs8 Pb4'
_space_group_name_H-M_alt 'C 1 2/m 1'
_space_group_IT_number 12
_cell_length_a 14.4241
_cell_length_b 4.8645
_cell_length_c 11.5850
_cell_angle_alpha 90.00
_cell_angle_beta 107.51
_cell_angle_gamma 90.00
loop_
_space_group_symop_operation_xyz
'x,y,z'
'-x,-y,-z'
'-x,y,-z'
'x,-y,z'
'x+1/2,y+1/2,z'
'-x+1/2,-y+1/2,-z'
'-x+1/2,y+1/2,-z'
'x+1/2,-y+1/2,z'
loop_
_atom_site_label
_atom_site_fract_x
_atom_site_fract_y
_atom_site_fract_z
Cs1 0.0239 0.0000 0.1724
Cs2 0.1731 0.5000 0.6606
Pb1 0.2037 0.5000 0.0434
```

(3)
The following is a PBE-GGA calculation of an optimized crystal structure of Sm3Ag2Ir, from Alexandria.

Properties
The calculation puts the density of states at the Fermi level at 4.083 states/eV/f.u. The calculation puts the energy above the lowest structure with this stoichiometry at 114 meV per atom. The energy relative to the elements comes out at -0.3225 eV/atom.

Structure (CIF):
```
data_Sm3Ag2Ir
_chemical_formula_sum 'Sm12 Ag8 Ir4'
_space_group_name_H-M_alt 'C 1 2/c 1'
_space_group_IT_number 15
_cell_length_a 14.1318
_cell_length_b 5.9225
_cell_length_c 8.2210
_cell_angle_alpha 90.00
_cell_angle_beta 106.86
_cell_angle_gamma 90.00
loop_
_space_group_symop_operation_xyz
'x,y,z'
'-x,-y,-z'
'-x,y,-z+1/2'
'x,-y,z+1/2'
'x+1/2,y+1/2,z'
'-x+1/2,-y+1/2,-z'
'-x+1/2,y+1/2,-z+1/2'
'x+1/2,-y+1/2,z+1/2'
loop_
_atom_site_label
_atom_site_fract_x
_atom_site_fract_y
_atom_site_fract_z
Sm1 0.0000 0.0004 0.2500
Sm2 0.1403 0.4988 0.0699
Ag1 0.1812 0.0014 0.5904
Ir1 0.0000 0.5005 0.2500
```